First-principles (GGA+U) data for crystalline RbAcMo2O7 at its relaxed geometry, as listed in the Alexandria database.

Output
Magnetic moment: 2.0 μB per cell
DFT total energy: -7.089 eV per atom

Cell lengths 4.018, 4.018, 10.873 Å; angles 90.00, 90.00, 90.00 degrees
Element x y z (fractional)
Mo  0.500  0.500  0.798
O  0.500  0.500  0.364
O  0.500  0.000  0.833
O  0.500  0.000  0.167
Rb  0.000  0.000  0.500
O  0.500  0.500  0.636
O  0.000  0.500  0.167
Ac  0.000  0.000  0.000
Mo  0.500  0.500  0.202
O  0.500  0.500  0.000
O  0.000  0.500  0.833